# Li2Cr3FeO8

An optimized crystal structure of Li2Cr3FeO8 (PBE+U, the Alexandria database).

Results
offset from the most stable computed form = 1.145 eV/f.u.
space-group type = C2/m

a = 5.888 Å, b = 5.888 Å, c = 5.967 Å
α = 119.52°, β = 119.52°, γ = 59.94°
Positions (direct):
Li 0.000 0.500 0.000
Li 0.500 0.000 0.000
Cr 0.000 0.000 0.500
Cr 0.000 0.500 0.500
Cr 0.500 0.000 0.500
Fe 0.500 0.500 0.500
O 0.229 0.229 0.711
O 0.243 0.739 0.704
O 0.261 0.757 0.296
O 0.269 0.269 0.288
O 0.731 0.731 0.712
O 0.739 0.243 0.704
O 0.757 0.261 0.296
O 0.771 0.771 0.289